[1]
CaSmAg3 after structural relaxation. Source: the Alexandria database, functional GGA-PBE.

a = 10.0873 Å, b = 10.0873 Å, c = 5.2465 Å
α = 90.00°, β = 90.00°, γ = 149.19°
Closest atoms and distances in Å follow each position.
Sites, in units of the cell vectors:
Ca  0.0678  0.9322  0.7500  6 Ag 3.09-3.26
Ca  0.9322  0.0678  0.2500  6 Ag 3.09-3.26
Sm  0.3530  0.6470  0.7500  8 Ag 3.08-3.19
Sm  0.6470  0.3530  0.2500  8 Ag 3.08-3.19
Ag  0.0415  0.4630  0.2500  2 Ag 2.66-2.70
Ag  0.4630  0.0415  0.7500  2 Ag 2.66-2.70
Ag  0.5000  0.5000  0.0000  2 Ag 2.62
Ag  0.5000  0.5000  0.5000  2 Ag 2.62
Ag  0.5370  0.9585  0.2500  2 Ag 2.66-2.70
Ag  0.9585  0.5370  0.7500  2 Ag 2.66-2.70

Properties
crystal system: orthorhombic
final energy: -3.12 eV/atom
total magnetization: 0.00 μB per formula unit
formation enthalpy at 0 K: -68 meV/atom

=====

[2]
CaSm2Ag after structural relaxation. Source: the Alexandria database, functional GGA-PBE.

a = 3.6909 Å, b = 3.6909 Å, c = 9.3911 Å
α = 90.00°, β = 90.00°, γ = 90.00°
Closest atoms and distances in Å follow each position.
Sites, in units of the cell vectors:
Ca  0.0000  0.0000  0.0000  4 Ca 3.69, 8 Sm 3.88
Sm  0.5000  0.5000  0.3052  4 Ag 3.19
Sm  0.5000  0.5000  0.6948  4 Ag 3.19
Ag  0.0000  0.0000  0.5000  8 Sm 3.19

Properties
crystal system: tetragonal
final energy: -3.62 eV/atom
total magnetization: 0.00 μB per formula unit
formation enthalpy at 0 K: -49 meV/atom